# PBE with a Hubbard U LiHo2MnO6, relaxed
# Size of the total moment in μB/f.u.: 2.0
# Raw total energy in eV per atom: -7.3173
data_LiHo2MnO6
_chemical_formula_sum 'Li2 Ho4 Mn2 O12'
_cell_length_a 5.2388
_cell_length_b 5.6734
_cell_length_c 8.9736
_cell_angle_alpha 90.00
_cell_angle_beta 124.43
_cell_angle_gamma 90.00
_symmetry_space_group_name_H-M 'P 1 21/c 1'
_symmetry_Int_Tables_number 14
loop_
_symmetry_equiv_pos_as_xyz
'x,y,z'
'-x,-y,-z'
'-x,y+1/2,-z+1/2'
'x,-y+1/2,z+1/2'
loop_
_atom_site_label
_atom_site_type_symbol
_atom_site_fract_x
_atom_site_fract_y
_atom_site_fract_z
Li1 Li 0.0000 0.0000 0.0000
Ho1 Ho 0.2251 0.0827 0.7473
Mn1 Mn 0.5000 0.0000 0.5000
O1 O 0.1466 0.1784 0.4467
O2 O 0.2680 0.7093 0.4394
O3 O 0.3721 0.0393 0.2563

=====

# PBE with a Hubbard U Li2HoMnO4, relaxed
# Size of the total moment in μB/f.u.: 4.0
# Raw total energy in eV per atom: -6.7032
data_Li2HoMnO4
_chemical_formula_sum 'Li4 Ho2 Mn2 O8'
_cell_length_a 5.2379
_cell_length_b 5.2379
_cell_length_c 6.6221
_cell_angle_alpha 90.00
_cell_angle_beta 90.00
_cell_angle_gamma 90.00
_symmetry_space_group_name_H-M 'I -4 2 m'
_symmetry_Int_Tables_number 121
_symmetry_space_group_name_Hall 'I -4 2'
loop_
_atom_site_label
_atom_site_type_symbol
_atom_site_fract_x
_atom_site_fract_y
_atom_site_fract_z
Li1 Li 0.0000 0.5000 0.2500
Ho1 Ho 0.0000 0.0000 0.0000
Mn1 Mn 0.0000 0.0000 0.5000
O1 O 0.2301 0.2301 0.3645

=====

# PBE with a Hubbard U LiHo2MnO5, relaxed
# Size of the total moment in μB/f.u.: 4.0
# Raw total energy in eV per atom: -7.3824
data_LiHo2MnO5
_chemical_formula_sum 'Li2 Ho4 Mn2 O10'
_cell_length_a 6.4075
_cell_length_b 6.4075
_cell_length_c 5.6721
_cell_angle_alpha 90.00
_cell_angle_beta 90.00
_cell_angle_gamma 90.00
_symmetry_space_group_name_H-M 'P 4/m b m'
_symmetry_Int_Tables_number 127
_symmetry_space_group_name_Hall '-P 4 2ab'
loop_
_atom_site_label
_atom_site_type_symbol
_atom_site_fract_x
_atom_site_fract_y
_atom_site_fract_z
Li1 Li 0.0000 0.0000 0.0000
Ho1 Ho 0.1775 0.3225 0.5000
Mn1 Mn 0.0000 0.5000 0.0000
O1 O 0.0000 0.0000 0.5000
O2 O 0.1398 0.6398 0.2445